5
Lattice="-3.432 3.055 1.119 -2.990 -2.322 -2.834 -1.281 -2.764 3.617" Properties=species:S:1:pos:R:3 comment="LiCuAu3 (PBEsol, optimized geometry)" magmom_total_mub_per_cell=0.0 delta_e_f_kj_per_mol_fu=160 pbc="T T T"
Cu 0.000 0.000 0.000
Au -1.716 1.527 0.559
Au -0.641 -1.382 1.808
Au -1.495 -1.161 -1.417
Li -3.852 -1.016 0.951